#A
Compound: TbDy9Y2
Source: Alexandria via LeMat-Bulk
Functional: GGA-PBE
Structure: optimized geometry

Cell lengths 11.2303, 11.2303, 3.4870 Å; angles 90.00, 90.00, 120.00 degrees
Closest atoms and distances in Å follow each position.
Space group P6/mmm (No. 191)
Unique sites:
Tb1 0.0000 0.0000 0.0000 [1 per cell]  2 Tb 3.49, 12 Dy 3.84
Dy1 0.0000 0.5000 0.0000 [3 per cell]  2 Y 3.24, 10 Dy 3.49-3.61
Dy2 0.1757 0.3513 0.5000 [6 per cell]  8 Dy 3.42-3.61, 2 Y 3.53
Y1 0.3333 0.6667 0.0000 [2 per cell]  9 Dy 3.24-3.53, 2 Y 3.49

Properties
- Mass density: 7.845 g/cm3

***

#B
Compound: TbDy9Y2
Source: Alexandria via LeMat-Bulk
Functional: GGA-PBE
Structure: optimized geometry

Cell lengths 5.0210, 5.0210, 15.0642 Å; angles 90.00, 90.00, 90.00 degrees
Closest atoms and distances in Å follow each position.
Space group P4/mmm (No. 123)
Unique sites:
Tb1 0.0000 0.0000 0.0000 [1 per cell]  12 Dy 3.55
Dy1 0.0000 0.5000 0.1662 [4 per cell]  2 Tb 3.55, 8 Dy 3.55-3.56, 2 Y 3.55
Dy2 0.0000 0.5000 0.5000 [2 per cell]  8 Dy 3.55, 4 Y 3.55
Dy3 0.5000 0.5000 0.0000 [1 per cell]  8 Dy 3.55, 4 Tb 3.55
Dy4 0.5000 0.5000 0.3333 [2 per cell]  4 Y 3.55, 8 Dy 3.55-3.56
Y1 0.0000 0.0000 0.3332 [2 per cell]  12 Dy 3.55

Properties
- Mass density: 7.867 g/cm3

***

Best to worst by energy: #B, #A.

***

#A
Compound: TbDy6Y4
Source: Alexandria via LeMat-Bulk
Functional: GGA-PBE
Structure: optimized geometry

Cell lengths 6.5644, 6.5644, 17.1235 Å; angles 90.00, 90.00, 90.00 degrees
Closest atoms and distances in Å follow each position.
Space group I-42m (No. 121)
Unique sites:
Tb1 0.0000 0.0000 0.0000 [2 per cell]  8 Dy 3.28-3.40
Dy1 0.0000 0.5000 0.0000 [4 per cell]  2 Tb 3.28, 4 Y 3.32
Dy2 0.1855 0.1855 0.1712 [8 per cell]  5 Y 3.35-3.50, 1 Tb 3.40, 1 Dy 3.44
Y1 0.1796 0.1796 0.3667 [8 per cell]  7 Dy 3.32-3.50, 1 Y 3.33

Properties
- Mass density: 6.704 g/cm3

***

#B
Compound: TbDy6Y4
Source: Alexandria via LeMat-Bulk
Functional: GGA-PBE
Structure: optimized geometry

Cell lengths 6.5433, 6.5433, 17.1118 Å; angles 90.00, 90.00, 90.00 degrees
Closest atoms and distances in Å follow each position.
Space group I-42m (No. 121)
Unique sites:
Tb1 0.0000 0.0000 0.0000 [2 per cell]  4 Dy 3.27, 4 Y 3.45
Dy1 0.0000 0.5000 0.0000 [4 per cell]  2 Tb 3.27, 4 Dy 3.28
Dy2 0.1787 0.1787 0.6299 [8 per cell]  3 Dy 3.28-3.31, 5 Y 3.35-3.52
Y1 0.1869 0.1869 0.8257 [8 per cell]  5 Dy 3.35-3.52, 1 Tb 3.45, 1 Y 3.46

Properties
- Mass density: 6.752 g/cm3

***

Best to worst by energy: #B, #A.

***

#A
Compound: TbDy3Y
Source: Alexandria via LeMat-Bulk
Functional: GGA-PBE
Structure: optimized geometry

Cell lengths 3.6070, 16.6830, 11.5361 Å; angles 90.00, 90.00, 90.00 degrees
Closest atoms and distances in Å follow each position.
Space group Cmcm (No. 63)
Unique sites:
Tb1 0.0000 0.1792 0.2500 [4 per cell]  6 Dy 3.20-3.43, 2 Y 3.39
Dy1 0.0000 0.1621 0.7500 [4 per cell]  2 Tb 3.20, 2 Y 3.35, 4 Dy 3.40
Dy2 0.0000 0.3472 0.0000 [8 per cell]  6 Dy 3.40-3.71, 2 Tb 3.43, 1 Y 3.77
Y1 0.0000 0.4931 0.7500 [4 per cell]  2 Dy 3.35, 2 Tb 3.39, 2 Y 3.61

Properties
- Mass density: 7.036 g/cm3

***

#B
Compound: TbDy3Y
Source: Alexandria via LeMat-Bulk
Functional: GGA-PBE
Structure: optimized geometry

Cell lengths 6.2945, 5.6328, 9.6132 Å; angles 90.00, 109.08, 90.00 degrees
Closest atoms and distances in Å follow each position.
Space group P2_1/m (No. 11)
Unique sites:
Tb1 0.0350 0.2500 0.4007 [2 per cell]  8 Dy 3.51-3.64, 2 Tb 3.51, 2 Y 3.64
Dy1 0.1665 0.7500 0.9999 [2 per cell]  7 Dy 3.51-3.65, 4 Y 3.51-3.64, 1 Tb 3.64
Dy2 0.2303 0.2500 0.7997 [2 per cell]  6 Dy 3.51-3.65, 3 Tb 3.51-3.62, 3 Y 3.52-3.63
Dy3 0.3667 0.7500 0.4000 [2 per cell]  4 Tb 3.51-3.64, 5 Dy 3.51-3.65, 3 Y 3.52-3.64
Y1 0.4342 0.2500 0.1992 [2 per cell]  10 Dy 3.51-3.64, 2 Tb 3.64

Properties
- Mass density: 7.582 g/cm3

***

Best to worst by energy: #B, #A.

***

#A
Compound: TbDy7Y12
Source: Alexandria via LeMat-Bulk
Functional: GGA-PBE
Structure: optimized geometry

Cell lengths 18.5824, 18.5824, 6.7283 Å; angles 90.00, 90.00, 120.00 degrees
Closest atoms and distances in Å follow each position.
Space group R-3 (No. 148, hexagonal axes)
Unique sites:
Tb1 0.0000 0.0000 0.0000 [3 per cell]  8 Dy 3.16-3.36
Dy1 0.0000 0.0000 0.5000 [3 per cell]  2 Tb 3.36, 6 Dy 3.41
Dy2 0.0095 0.8537 0.7866 [18 per cell]  1 Tb 3.16, 4 Y 3.17-3.51, 1 Dy 3.41
Y1 0.0005 0.7894 0.2920 [18 per cell]  4 Y 3.21-3.50, 3 Dy 3.40-3.58
Y2 0.0077 0.4701 0.7371 [18 per cell]  2 Dy 3.17-3.31, 5 Y 3.21-3.50

Properties
- Mass density: 5.851 g/cm3

***

#B
Compound: TbDy7Y12
Source: Alexandria via LeMat-Bulk
Functional: GGA-PBE
Structure: optimized geometry

Cell lengths 12.8464, 12.8464, 13.6514 Å; angles 90.00, 90.00, 120.00 degrees
Closest atoms and distances in Å follow each position.
Space group R-3 (No. 148, hexagonal axes)
Unique sites:
Tb1 0.0000 0.0000 0.0000 [3 per cell]  6 Dy 3.08
Dy1 0.0000 0.0000 0.5000 [3 per cell]  6 Y 3.06
Dy2 0.0686 0.1999 0.8466 [18 per cell]  2 Y 3.07-3.35, 1 Tb 3.08, 1 Dy 3.10
Y1 0.0016 0.4369 0.7492 [18 per cell]  3 Dy 3.35-3.56, 3 Y 3.37-3.57
Y2 0.0683 0.8683 0.3487 [18 per cell]  2 Dy 3.06-3.07, 2 Y 3.11-3.37

Properties
- Mass density: 6.034 g/cm3

***

Best to worst by energy: #B, #A.

***

#A
Compound: TbDy7Y2
Source: Alexandria via LeMat-Bulk
Functional: GGA-PBE
Structure: optimized geometry

Cell lengths 8.5684, 17.5936, 5.1250 Å; angles 90.00, 90.00, 90.00 degrees
Closest atoms and distances in Å follow each position.
Space group Cmmm (No. 65)
Unique sites:
Tb1 0.0000 0.0000 0.0000 [2 per cell]  10 Dy 3.39-3.52
Dy1 0.0000 0.1927 0.0000 [4 per cell]  2 Y 3.15, 4 Dy 3.36, 1 Tb 3.39
Dy2 0.0000 0.5000 0.5000 [2 per cell]  4 Dy 3.31, 2 Y 3.58
Dy3 0.1804 0.1057 0.5000 [8 per cell]  4 Dy 3.09-3.36, 1 Y 3.24
Y1 0.0000 0.2963 0.5000 [4 per cell]  4 Dy 3.15-3.24

Properties
- Mass density: 6.337 g/cm3

***

#B
Compound: TbDy7Y2
Source: Alexandria via LeMat-Bulk
Functional: GGA-PBE
Structure: optimized geometry

Cell lengths 6.4319, 29.2377, 3.4403 Å; angles 90.00, 90.00, 90.00 degrees
Closest atoms and distances in Å follow each position.
Space group Cmmm (No. 65)
Unique sites:
Tb1 0.0000 0.0000 0.0000 [2 per cell]  2 Tb 3.44, 12 Dy 3.65-3.72
Dy1 0.0000 0.3125 0.0000 [4 per cell]  6 Dy 3.44-3.51, 6 Y 3.50-3.70
Dy2 0.0000 0.5000 0.5000 [2 per cell]  6 Dy 3.34-3.44, 4 Tb 3.65
Dy3 0.2433 0.0992 0.5000 [8 per cell]  5 Dy 3.13-3.44
Y1 0.0000 0.2082 0.5000 [4 per cell]  2 Y 3.44, 8 Dy 3.50-3.70

Properties
- Mass density: 7.568 g/cm3

***

Best to worst by energy: #B, #A.

***

#A
Compound: TbDy4Y7
Source: Alexandria via LeMat-Bulk
Functional: GGA-PBE
Structure: optimized geometry

Cell lengths 6.5179, 6.8044, 9.0820 Å; angles 85.99, 76.70, 81.98 degrees
Closest atoms and distances in Å follow each position.
Space group P-1 (No. 2)
Unique sites:
Tb1 0.0000 0.0000 0.0000 [1 per cell]  2 Dy 3.37, 4 Y 3.40-3.48
Dy1 0.1610 0.6192 0.3079 [2 per cell]  7 Y 3.39-3.66, 2 Dy 3.51
Dy2 0.3594 0.1873 0.7163 [2 per cell]  8 Y 3.31-3.69, 1 Tb 3.37, 2 Dy 3.51
Y1 0.0000 0.5000 0.0000 [1 per cell]  4 Dy 3.39-3.64, 2 Tb 3.40, 4 Y 3.49-3.72
Y2 0.1895 0.1086 0.3871 [2 per cell]  5 Y 3.28-3.63, 5 Dy 3.31-3.60
Y3 0.3181 0.6942 0.6385 [2 per cell]  5 Y 3.42-3.72, 4 Dy 3.46-3.54
Y4 0.4861 0.2495 0.0506 [2 per cell]  5 Y 3.37-3.55, 4 Dy 3.39-3.69, 1 Tb 3.48

Properties
- Mass density: 6.128 g/cm3

***

#B
Compound: TbDy4Y7
Source: Alexandria via LeMat-Bulk
Functional: GGA-PBE
Structure: optimized geometry

Cell lengths 12.0741, 5.8669, 12.7279 Å; angles 90.00, 117.86, 90.00 degrees
Closest atoms and distances in Å follow each position.
Space group C2/m (No. 12)
Unique sites:
Tb1 0.0000 0.0000 0.0000 [2 per cell]  4 Y 2.93-3.13
Dy1 0.1395 0.5000 0.7752 [4 per cell]  7 Y 3.37-3.64, 2 Dy 3.60
Dy2 0.2399 0.0000 0.6786 [4 per cell]  5 Y 3.27-3.67, 2 Dy 3.60
Y1 0.0000 0.5000 0.0000 [2 per cell]  2 Tb 2.93, 2 Y 3.15
Y2 0.0626 0.0000 0.3190 [4 per cell]  4 Y 3.30-3.58, 3 Dy 3.64-3.67
Y3 0.1337 0.5000 0.4999 [4 per cell]  4 Y 3.23-3.58, 5 Dy 3.27-3.56
Y4 0.2113 0.0000 0.9233 [4 per cell]  1 Tb 3.13, 4 Y 3.15-3.40, 4 Dy 3.29-3.39

Properties
- Mass density: 5.963 g/cm3

***

Best to worst by energy: #A, #B.

***

#A
Compound: TbDy2Y8
Source: Alexandria via LeMat-Bulk
Functional: GGA-PBE
Structure: optimized geometry

Cell lengths 6.1681, 6.1727, 9.4417 Å; angles 89.92, 83.71, 80.30 degrees
Closest atoms and distances in Å follow each position.
Space group P-1 (No. 2)
Unique sites:
Tb1 0.0000 0.0000 0.0000 [1 per cell]  10 Y 3.56-3.57, 2 Dy 3.56
Dy1 0.1819 0.6375 0.2725 [2 per cell]  11 Y 3.55-3.57, 1 Tb 3.56
Y1 0.0899 0.8185 0.6365 [2 per cell]  8 Y 3.55-3.57, 3 Dy 3.55-3.57, 1 Tb 3.57
Y2 0.2718 0.4550 0.9092 [2 per cell]  7 Y 3.55-3.57, 2 Tb 3.56, 3 Dy 3.56-3.57
Y3 0.3632 0.2739 0.5457 [2 per cell]  9 Y 3.56-3.58, 3 Dy 3.56-3.57
Y4 0.4539 0.0911 0.1817 [2 per cell]  8 Y 3.55-3.57, 2 Dy 3.56-3.57, 2 Tb 3.56

Properties
- Mass density: 5.636 g/cm3

***

#B
Compound: TbDy2Y8
Source: Alexandria via LeMat-Bulk
Functional: GGA-PBE
Structure: optimized geometry

Cell lengths 9.0385, 16.1876, 5.8860 Å; angles 90.00, 123.34, 90.00 degrees
Closest atoms and distances in Å follow each position.
Space group C2/m (No. 12)
Unique sites:
Tb1 0.0000 0.0000 0.0000 [2 per cell]  4 Y 3.34-3.35
Dy1 0.0000 0.3077 0.5000 [4 per cell]  8 Y 3.37-3.48
Y1 0.0000 0.2062 0.0000 [4 per cell]  1 Tb 3.34, 2 Dy 3.37, 6 Y 3.59-3.69
Y2 0.0728 0.5000 0.7937 [4 per cell]  3 Y 2.95-3.24
Y3 0.2167 0.1181 0.6758 [8 per cell]  5 Y 3.24-3.62, 2 Dy 3.46-3.48

Properties
- Mass density: 5.517 g/cm3

***

Best to worst by energy: #A, #B.

***

#A
Compound: Tb3Dy4Y5
Source: Alexandria via LeMat-Bulk
Functional: GGA-PBE
Structure: optimized geometry

Cell lengths 6.1613, 7.1208, 8.7101 Å; angles 90.02, 90.08, 90.13 degrees
Closest atoms and distances in Å follow each position.
Space group P-1 (No. 2)
Unique sites:
Tb1 0.0000 0.0000 0.0000 [1 per cell]  8 Y 3.55-3.56, 2 Dy 3.56, 2 Tb 3.56
Tb2 0.1663 0.7490 0.6669 [2 per cell]  6 Dy 3.55-3.57, 5 Y 3.55-3.57, 1 Tb 3.56
Dy1 0.1666 0.2507 0.6669 [2 per cell]  3 Dy 3.54-3.56, 4 Tb 3.55-3.57, 5 Y 3.55-3.57
Dy2 0.3334 0.5000 0.3351 [2 per cell]  4 Dy 3.53-3.56, 3 Tb 3.55-3.56, 5 Y 3.56-3.57
Y1 0.0000 0.5000 0.0000 [1 per cell]  4 Tb 3.55-3.56, 4 Dy 3.55-3.57, 4 Y 3.55-3.56
Y2 0.3318 0.0000 0.3339 [2 per cell]  5 Dy 3.55-3.57, 4 Tb 3.55-3.57, 3 Y 3.56-3.57
Y3 0.4999 0.2500 0.0000 [2 per cell]  3 Dy 3.55-3.57, 3 Tb 3.55-3.56, 6 Y 3.55-3.57

Properties
- Mass density: 6.828 g/cm3

***

#B
Compound: Tb3Dy4Y5
Source: Alexandria via LeMat-Bulk
Functional: GGA-PBE
Structure: optimized geometry

Cell lengths 16.0839, 5.8762, 9.2551 Å; angles 90.00, 116.38, 90.00 degrees
Closest atoms and distances in Å follow each position.
Space group C2/m (No. 12)
Unique sites:
Tb1 0.0000 0.0000 0.0000 [2 per cell]  2 Y 2.94
Tb2 0.2087 0.5000 0.2304 [4 per cell]  5 Y 3.07-3.43, 2 Dy 3.29-3.40
Dy1 0.0812 0.5000 0.4411 [4 per cell]  1 Dy 3.25, 1 Tb 3.40, 3 Y 3.42-3.55
Dy2 0.2137 0.5000 0.8790 [4 per cell]  3 Tb 3.29-3.51, 3 Dy 3.56-3.65, 3 Y 3.61-3.65
Y1 0.0000 0.5000 0.0000 [2 per cell]  4 Tb 2.94-3.07
Y2 0.0745 0.0000 0.7020 [4 per cell]  2 Tb 3.26-3.46, 1 Y 3.43, 2 Dy 3.61
Y3 0.1729 0.0000 0.3867 [4 per cell]  4 Tb 3.19-3.43, 3 Dy 3.42-3.55

Properties
- Mass density: 6.659 g/cm3

***

Best to worst by energy: #A, #B.

***

#A
Compound: Tb6DyY4
Source: Alexandria via LeMat-Bulk
Functional: GGA-PBE
Structure: optimized geometry

Cell lengths 5.7253, 9.6682, 25.6610 Å; angles 90.00, 90.00, 90.00 degrees
Closest atoms and distances in Å follow each position.
Space group Cmcm (No. 63)
Unique sites:
Tb1 0.0000 0.0000 0.0000 [4 per cell]  8 Y 3.14-3.51
Tb2 0.0000 0.0270 0.2500 [4 per cell]  3 Dy 3.24-3.28, 2 Y 3.29
Tb3 0.0000 0.3073 0.6044 [8 per cell]  5 Y 3.29-3.58
Tb4 0.0000 0.3610 0.1824 [8 per cell]  7 Tb 3.47-3.85, 4 Y 3.54-3.65, 3 Dy 3.64-3.72
Dy1 0.0000 0.3078 0.7500 [4 per cell]  3 Tb 3.24-3.28
Y1 0.0000 0.0315 0.1220 [8 per cell]  5 Tb 3.14-3.31
Y2 0.0000 0.3446 0.0430 [8 per cell]  8 Tb 3.42-3.80, 2 Y 3.64-3.73

Properties
- Mass density: 6.882 g/cm3

***

#B
Compound: Tb6DyY4
Source: Alexandria via LeMat-Bulk
Functional: GGA-PBE
Structure: optimized geometry

Cell lengths 6.5800, 6.5800, 17.1331 Å; angles 90.00, 90.00, 90.00 degrees
Closest atoms and distances in Å follow each position.
Space group I-42m (No. 121)
Unique sites:
Tb1 0.0000 0.5000 0.0000 [4 per cell]  2 Dy 3.29, 4 Y 3.31
Tb2 0.1859 0.1859 0.1721 [8 per cell]  5 Y 3.35-3.52, 1 Dy 3.42, 1 Tb 3.46
Dy1 0.0000 0.0000 0.0000 [2 per cell]  8 Tb 3.29-3.42
Y1 0.1795 0.1795 0.3679 [8 per cell]  7 Tb 3.31-3.52, 1 Y 3.34

Properties
- Mass density: 6.589 g/cm3

***

Best to worst by energy: #A, #B.

***

#A
Compound: Tb3Dy2Y4
Source: Alexandria via LeMat-Bulk
Functional: GGA-PBE
Structure: optimized geometry

Cell lengths 11.8130, 3.5596, 14.6873 Å; angles 90.00, 111.54, 90.00 degrees
Closest atoms and distances in Å follow each position.
Space group C2/m (No. 12)
Unique sites:
Tb1 0.0000 0.0000 0.0000 [2 per cell]  4 Dy 3.55, 2 Tb 3.56, 6 Y 3.56-3.57
Tb2 0.1114 0.0000 0.4432 [4 per cell]  5 Y 3.54-3.56, 2 Dy 3.55, 5 Tb 3.56-3.60
Dy1 0.0555 0.5000 0.2216 [4 per cell]  4 Tb 3.55, 6 Y 3.55-3.58, 2 Dy 3.56
Y1 0.1661 0.5000 0.6655 [4 per cell]  5 Tb 3.54-3.56, 4 Y 3.56-3.57, 3 Dy 3.57-3.58
Y2 0.2220 0.0000 0.8885 [4 per cell]  3 Dy 3.55-3.56, 6 Y 3.56-3.57, 3 Tb 3.56-3.57

Properties
- Mass density: 6.691 g/cm3

***

#B
Compound: Tb3Dy2Y4
Source: Alexandria via LeMat-Bulk
Functional: GGA-PBE
Structure: optimized geometry

Cell lengths 16.3381, 11.5709, 6.1194 Å; angles 90.00, 96.05, 90.00 degrees
Closest atoms and distances in Å follow each position.
Space group C2/c (No. 15)
Unique sites:
Tb1 0.0000 0.0946 0.2500 [4 per cell]  4 Dy 3.37-3.48, 4 Y 3.49-3.50, 2 Tb 3.76
Tb2 0.1668 0.4020 0.0839 [8 per cell]  6 Y 3.37-3.51, 2 Dy 3.46-3.51
Dy1 0.1199 0.1420 0.8219 [8 per cell]  4 Y 3.29-3.57, 4 Tb 3.37-3.51
Y1 0.0464 0.3585 0.5137 [8 per cell]  1 Dy 3.29, 4 Tb 3.40-3.51, 3 Y 3.40-3.61
Y2 0.2123 0.1383 0.3488 [8 per cell]  1 Y 3.34, 4 Tb 3.37-3.50, 3 Dy 3.40-3.57

Properties
- Mass density: 6.683 g/cm3

***

Best to worst by energy: #A, #B.